# 1
FeCu2I after structural relaxation, computed with PBE.

Cell and atoms, written as CIF:
```
data_FeCu2I
_space_group_name_H-M_alt 'P 1'
_space_group_IT_number 1
_cell_length_a 4.5880
_cell_length_b 4.5880
_cell_length_c 4.5880
_cell_angle_alpha 60.00
_cell_angle_beta 60.00
_cell_angle_gamma 60.00
loop_
_space_group_symop_operation_xyz
'x,y,z'
loop_
_atom_site_label
_atom_site_fract_x
_atom_site_fract_y
_atom_site_fract_z
_atom_site_occupancy
Fe1 0.0000 0.0000 0.0000 1
Cu1 0.2500 0.2500 0.2500 1
Cu2 0.7500 0.7500 0.7500 1
I1 0.5000 0.5000 0.5000 1
```

Computed properties:
Space group: Fm-3m
Total magnetization, μB per formula unit: 2.907
E above lowest polymorph, meV/atom: 134

---

# 2
PaHgCl3 after structural relaxation, computed with PBE.

Cell and atoms, written as CIF:
```
data_PaHgCl3
_space_group_name_H-M_alt 'P 1'
_space_group_IT_number 1
_cell_length_a 11.2390
_cell_length_b 11.2390
_cell_length_c 11.2390
_cell_angle_alpha 34.28
_cell_angle_beta 34.28
_cell_angle_gamma 34.28
loop_
_space_group_symop_operation_xyz
'x,y,z'
loop_
_atom_site_label
_atom_site_fract_x
_atom_site_fract_y
_atom_site_fract_z
_atom_site_occupancy
Pa1 0.1669 0.1669 0.1669 1
Pa2 0.8331 0.8331 0.8331 1
Hg1 0.3342 0.3342 0.3342 1
Hg2 0.6658 0.6658 0.6658 1
Cl1 0.1131 0.4477 0.7850 1
Cl2 0.2150 0.8869 0.5523 1
Cl3 0.4477 0.7850 0.1131 1
Cl4 0.5523 0.2150 0.8869 1
Cl5 0.7850 0.1131 0.4477 1
Cl6 0.8869 0.5523 0.2150 1
```

Computed properties:
Space group: R-3
Total magnetization, μB per formula unit: 2.000
E above lowest polymorph, meV/atom: 0

---

# 3
ZnCoH4 after structural relaxation, computed with PBE.

Cell and atoms, written as CIF:
```
data_ZnCoH4
_space_group_name_H-M_alt 'P 1'
_space_group_IT_number 1
_cell_length_a 5.6693
_cell_length_b 5.6693
_cell_length_c 4.6405
_cell_angle_alpha 102.28
_cell_angle_beta 102.28
_cell_angle_gamma 129.99
loop_
_space_group_symop_operation_xyz
'x,y,z'
loop_
_atom_site_label
_atom_site_fract_x
_atom_site_fract_y
_atom_site_fract_z
_atom_site_occupancy
Zn1 0.1680 0.8320 0.7500 1
Zn2 0.8320 0.1680 0.2500 1
Co1 0.3019 0.6981 0.2500 1
Co2 0.6981 0.3019 0.7500 1
H1 0.0855 0.4486 0.8452 1
H2 0.2498 0.3993 0.2747 1
H3 0.3993 0.2498 0.7747 1
H4 0.4486 0.0855 0.3452 1
H5 0.5514 0.9145 0.6548 1
H6 0.6007 0.7502 0.2253 1
H7 0.7502 0.6007 0.7253 1
H8 0.9145 0.5514 0.1548 1
```

Computed properties:
Space group: C2/c
Total magnetization, μB per formula unit: 0.004
E above lowest polymorph, meV/atom: 0

---

# 4
SrHg2W after structural relaxation, computed with PBE.

Cell and atoms, written as CIF:
```
data_SrHg2W
_space_group_name_H-M_alt 'P 1'
_space_group_IT_number 1
_cell_length_a 5.2115
_cell_length_b 5.2115
_cell_length_c 5.2115
_cell_angle_alpha 60.00
_cell_angle_beta 60.00
_cell_angle_gamma 60.00
loop_
_space_group_symop_operation_xyz
'x,y,z'
loop_
_atom_site_label
_atom_site_fract_x
_atom_site_fract_y
_atom_site_fract_z
_atom_site_occupancy
Sr1 0.0000 0.0000 0.0000 1
Hg1 0.2500 0.2500 0.2500 1
Hg2 0.5000 0.5000 0.5000 1
W1 0.7500 0.7500 0.7500 1
```

Computed properties:
Space group: F-43m
Total magnetization, μB per formula unit: 3.801
E above lowest polymorph, meV/atom: 389

---

# 5
CaRu2F after structural relaxation, computed with PBE.

Cell and atoms, written as CIF:
```
data_CaRu2F
_space_group_name_H-M_alt 'P 1'
_space_group_IT_number 1
_cell_length_a 4.5426
_cell_length_b 4.5426
_cell_length_c 4.5426
_cell_angle_alpha 60.00
_cell_angle_beta 60.00
_cell_angle_gamma 60.00
loop_
_space_group_symop_operation_xyz
'x,y,z'
loop_
_atom_site_label
_atom_site_fract_x
_atom_site_fract_y
_atom_site_fract_z
_atom_site_occupancy
Ca1 0.0000 0.0000 0.0000 1
Ru1 0.2500 0.2500 0.2500 1
Ru2 0.7500 0.7500 0.7500 1
F1 0.5000 0.5000 0.5000 1
```

Computed properties:
Space group: Fm-3m
Total magnetization, μB per formula unit: 2.876
E above lowest polymorph, meV/atom: 550

---

# 6
Mg12Tl2In5 after structural relaxation, computed with PBE.

Cell and atoms, written as CIF:
```
data_Mg12Tl2In5
_space_group_name_H-M_alt 'P 1'
_space_group_IT_number 1
_cell_length_a 8.9305
_cell_length_b 8.9305
_cell_length_c 9.8197
_cell_angle_alpha 103.03
_cell_angle_beta 103.03
_cell_angle_gamma 40.97
loop_
_space_group_symop_operation_xyz
'x,y,z'
loop_
_atom_site_label
_atom_site_fract_x
_atom_site_fract_y
_atom_site_fract_z
_atom_site_occupancy
Mg1 0.0209 0.0209 0.3441 1
Mg2 0.0535 0.5470 0.8801 1
Mg3 0.1017 0.6067 0.3817 1
Mg4 0.3770 0.3770 0.6740 1
Mg5 0.3933 0.8983 0.6183 1
Mg6 0.4530 0.9465 0.1199 1
Mg7 0.5470 0.0535 0.8801 1
Mg8 0.6067 0.1017 0.3817 1
Mg9 0.6230 0.6230 0.3260 1
Mg10 0.8983 0.3933 0.6183 1
Mg11 0.9465 0.4530 0.1199 1
Mg12 0.9791 0.9791 0.6559 1
Tl1 0.2545 0.7455 0.0000 1
Tl2 0.7455 0.2545 0.0000 1
In1 0.1404 0.1404 0.8686 1
In2 0.2026 0.2026 0.3912 1
In3 0.5000 0.5000 0.5000 1
In4 0.7974 0.7974 0.6088 1
In5 0.8596 0.8596 0.1314 1
```

Computed properties:
Space group: C2/m
Total magnetization, μB per formula unit: 0.000
E above lowest polymorph, meV/atom: 62

---

# 7
NaAsO after structural relaxation, computed with PBE.

Cell and atoms, written as CIF:
```
data_NaAsO
_space_group_name_H-M_alt 'P 1'
_space_group_IT_number 1
_cell_length_a 6.3511
_cell_length_b 6.3511
_cell_length_c 6.3511
_cell_angle_alpha 136.99
_cell_angle_beta 126.39
_cell_angle_gamma 71.06
loop_
_space_group_symop_operation_xyz
'x,y,z'
loop_
_atom_site_label
_atom_site_fract_x
_atom_site_fract_y
_atom_site_fract_z
_atom_site_occupancy
Na1 0.1634 0.1634 0.0000 1
Na2 0.8366 0.8366 0.0000 1
As1 0.2415 0.5000 0.7415 1
As2 0.7585 0.5000 0.2585 1
O1 0.3817 0.3817 0.0000 1
O2 0.6183 0.6183 0.0000 1
```

Computed properties:
Space group: Immm
Total magnetization, μB per formula unit: 0.000
E above lowest polymorph, meV/atom: 383